Computed, not measured: Ni5Hg4 after structural relaxation at the GGA-PBE level of DFT.

Properties
- electronic total energy (eV/atom) = -3.097
- offset from the most stable computed form (eV/atom) = 0.0000
- E_form (eV per atom) = 0.249
- V (Å³ per cell) = 280
- ρ (g/cm³) = 13.0

Cell: 8.3583 8.3583 4.0066 Å, 90.00 90.00 90.00°
Space group I4/mmm (No. 139)
Asymmetric unit:
Ni1 0.0000 0.0000 0.0000 [2 per cell]
Ni2 0.1535 0.1535 0.5000 [8 per cell]
Hg1 0.0000 0.3084 0.0000 [8 per cell]

Computed, not measured: Ni3Hg after structural relaxation at the GGA-PBE level of DFT.

Properties
- electronic total energy (eV/atom) = -4.218
- E_form (eV per atom) = 0.194
- V (Å³ per cell) = 53
- ρ (g/cm³) = 11.7

Cell: 2.9426 3.0211 6.0156 Å, 90.00 90.00 90.00°
Space group Pmmm (No. 47)
Asymmetric unit:
Ni1 0.0000 0.0000 0.0000 [1 per cell]
Ni2 0.5000 0.5000 0.2066 [2 per cell]
Hg1 0.0000 0.0000 0.5000 [1 per cell]

Computed, not measured: NiHg3 after structural relaxation at the GGA-PBE level of DFT.

Properties
- electronic total energy (eV/atom) = -1.429
- offset from the most stable computed form (eV/atom) = 0.1145
- E_form (eV per atom) = 0.242
- V (Å³ per cell) = 83
- ρ (g/cm³) = 13.1

Cell: 3.2279 3.2279 9.2528 Å, 90.00 90.00 120.00°
Space group P-6m2 (No. 187)
Asymmetric unit:
Ni1 0.0000 0.0000 0.0000 [1 per cell]
Hg1 0.0000 0.0000 0.5000 [1 per cell]
Hg2 0.6667 0.3333 0.2083 [2 per cell]

Computed, not measured: NiHg after structural relaxation at the GGA-PBE level of DFT.

Properties
- electronic total energy (eV/atom) = -2.643
- E_form (eV per atom) = 0.398
- V (Å³ per cell) = 259
- ρ (g/cm³) = 13.3

Cell: 6.3758 6.3758 6.3758 Å, 90.00 90.00 90.00°
Space group Fd-3m (No. 227, origin choice 2)
Asymmetric unit:
Ni1 0.1250 0.1250 0.1250 [8 per cell]
Hg1 0.1250 0.1250 0.6250 [8 per cell]

Computed, not measured: Ni2Hg after structural relaxation at the GGA-PBE level of DFT.

Properties
- electronic total energy (eV/atom) = -3.680
- E_form (eV per atom) = 0.275
- V (Å³ per cell) = 170
- ρ (g/cm³) = 12.4

Cell: 7.9448 4.7296 5.4455 Å, 90.00 123.85 90.00°
Space group C2/c (No. 15)
Asymmetric unit:
Ni1 0.1617 0.0980 0.2543 [8 per cell]
Hg1 0.0000 0.3921 0.7500 [4 per cell]

Computed, not measured: Ni3Hg after structural relaxation at the GGA-PBE level of DFT.

Properties
- electronic total energy (eV/atom) = -4.205
- E_form (eV per atom) = 0.207
- V (Å³ per cell) = 106
- ρ (g/cm³) = 11.8

Cell: 4.2864 5.2770 4.7051 Å, 90.00 90.00 90.00°
Space group Pmmn (No. 59, origin choice 2)
Asymmetric unit:
Ni1 0.2500 0.0039 0.1471 [4 per cell]
Ni2 0.2500 0.7500 0.7042 [2 per cell]
Hg1 0.2500 0.2500 0.6450 [2 per cell]

Computed, not measured: Ni3Hg2 after structural relaxation at the GGA-PBE level of DFT.

Properties
- electronic total energy (eV/atom) = -3.104
- offset from the most stable computed form (eV/atom) = 0.2291
- E_form (eV per atom) = 0.486
- V (Å³ per cell) = 84
- ρ (g/cm³) = 11.4

Cell: 4.2796 4.2796 5.3153 Å, 90.00 90.00 120.00°
Space group P-3m1 (No. 164)
Asymmetric unit:
Ni1 0.0000 0.0000 0.0000 [1 per cell]
Ni2 0.3333 0.6667 0.3346 [2 per cell]
Hg1 0.3333 0.6667 0.8137 [2 per cell]

Computed, not measured: NiHg3 after structural relaxation at the GGA-PBE level of DFT.

Properties
- electronic total energy (eV/atom) = -1.341
- offset from the most stable computed form (eV/atom) = 0.2023
- E_form (eV per atom) = 0.330
- V (Å³ per cell) = 157
- ρ (g/cm³) = 13.9

Cell: 4.2062 4.2062 8.8914 Å, 90.00 90.00 90.00°
Space group I4/mmm (No. 139)
Asymmetric unit:
Ni1 0.0000 0.0000 0.0000 [2 per cell]
Hg1 0.0000 0.0000 0.5000 [2 per cell]
Hg2 0.0000 0.5000 0.2500 [4 per cell]

Computed, not measured: NiHg after structural relaxation at the GGA-PBE level of DFT.

Properties
- electronic total energy (eV/atom) = -2.123
- E_form (eV per atom) = 0.918
- V (Å³ per cell) = 197
- ρ (g/cm³) = 8.7

Cell: 5.8186 5.8186 5.8186 Å, 90.00 90.00 90.00°
Space group F-43m (No. 216)
Asymmetric unit:
Ni1 0.0000 0.0000 0.0000 [4 per cell]
Hg1 0.2500 0.2500 0.2500 [4 per cell]

Computed, not measured: Ni4Hg3 after structural relaxation at the GGA-PBE level of DFT.

Properties
- electronic total energy (eV/atom) = -2.759
- E_form (eV per atom) = 0.674
- V (Å³ per cell) = 119
- ρ (g/cm³) = 11.7

Cell: 5.5486 5.5486 4.4647 Å, 90.00 90.00 120.00°
Space group P6/mmm (No. 191)
Asymmetric unit:
Ni1 0.0000 0.0000 0.2480 [2 per cell]
Ni2 0.3333 0.6667 0.0000 [2 per cell]
Hg1 0.0000 0.5000 0.5000 [3 per cell]

Computed, not measured: NiHg3 after structural relaxation at the GGA-PBE level of DFT.

Properties
- electronic total energy (eV/atom) = -1.292
- offset from the most stable computed form (eV/atom) = 0.2518
- E_form (eV per atom) = 0.380
- V (Å³ per cell) = 243
- ρ (g/cm³) = 13.6

Cell: 9.4086 9.4086 3.1670 Å, 90.00 90.00 120.00°
Space group R-3m (No. 166, hexagonal axes)
Asymmetric unit:
Ni1 0.0000 0.0000 0.0000 [3 per cell]
Hg1 0.0000 0.5000 0.0000 [9 per cell]

Computed, not measured: Ni2Hg after structural relaxation at the GGA-PBE level of DFT.

Properties
- electronic total energy (eV/atom) = -3.648
- E_form (eV per atom) = 0.307
- V (Å³ per cell) = 87
- ρ (g/cm³) = 12.2

Cell: 4.8407 4.8407 4.2656 Å, 90.00 90.00 120.00°
Space group P-62m (No. 189)
Asymmetric unit:
Ni1 0.0000 0.0000 0.0000 [1 per cell]
Ni2 0.0000 0.2953 0.5000 [3 per cell]
Hg1 0.3333 0.6667 0.0000 [2 per cell]

Computed, not measured: NiHg after structural relaxation at the GGA-PBE level of DFT.

Properties
- electronic total energy (eV/atom) = -2.778
- E_form (eV per atom) = 0.264
- V (Å³ per cell) = 193
- ρ (g/cm³) = 13.4

Cell: 4.4536 3.0175 14.3392 Å, 90.00 90.00 90.00°
Space group Amm2 (No. 38)
Asymmetric unit:
Ni1 0.0000 0.0000 0.0000 [2 per cell]
Ni2 0.0000 0.0000 0.3559 [2 per cell]
Ni3 0.5000 0.0000 0.1352 [2 per cell]
Hg1 0.0000 0.0000 0.6614 [2 per cell]
Hg2 0.5000 0.0000 0.4807 [2 per cell]
Hg3 0.5000 0.0000 0.7990 [2 per cell]

Computed, not measured: NiHg after structural relaxation at the GGA-PBE level of DFT.

Properties
- electronic total energy (eV/atom) = -2.703
- E_form (eV per atom) = 0.339
- V (Å³ per cell) = 66
- ρ (g/cm³) = 13.0

Cell: 3.0669 3.0669 8.1517 Å, 90.00 90.00 120.00°
Space group P6_3/mmc (No. 194)
Asymmetric unit:
Ni1 0.3333 0.6667 0.2500 [2 per cell]
Hg1 0.0000 0.0000 0.0000 [2 per cell]

Computed, not measured: NiHg after structural relaxation at the GGA-PBE level of DFT.

Properties
- electronic total energy (eV/atom) = -2.676
- E_form (eV per atom) = 0.366
- V (Å³ per cell) = 555
- ρ (g/cm³) = 12.4

Cell: 5.1489 7.8556 13.7156 Å, 90.00 90.00 90.00°
Space group Fddd (No. 70, origin choice 2)
Asymmetric unit:
Ni1 0.1250 0.1250 0.0399 [16 per cell]
Hg1 0.1250 0.3000 0.6250 [16 per cell]

Computed, not measured: Ni2Hg after structural relaxation at the GGA-PBE level of DFT.

Properties
- electronic total energy (eV/atom) = -3.687
- E_form (eV per atom) = 0.268
- V (Å³ per cell) = 185
- ρ (g/cm³) = 11.4

Cell: 4.6695 4.6695 8.4747 Å, 90.00 90.00 90.00°
Space group I4/mcm (No. 140)
Asymmetric unit:
Ni1 0.1855 0.3145 0.0000 [8 per cell]
Hg1 0.0000 0.0000 0.2500 [4 per cell]

Computed, not measured: NiHg after structural relaxation at the GGA-PBE level of DFT.

Properties
- electronic total energy (eV/atom) = -2.809
- E_form (eV per atom) = 0.232
- V (Å³ per cell) = 66
- ρ (g/cm³) = 13.0

Cell: 3.0269 3.0269 7.2288 Å, 90.00 90.00 90.00°
Space group P4/nmm (No. 129, origin choice 2)
Asymmetric unit:
Ni1 0.2500 0.2500 0.0825 [2 per cell]
Hg1 0.2500 0.2500 0.6765 [2 per cell]

Computed, not measured: Ni7Hg after structural relaxation at the GGA-PBE level of DFT.

Properties
- electronic total energy (eV/atom) = -4.929
- E_form (eV per atom) = 0.168
- V (Å³ per cell) = 389
- ρ (g/cm³) = 10.4

Cell: 7.3004 7.3004 7.3004 Å, 90.00 90.00 90.00°
Space group Fm-3m (No. 225)
Asymmetric unit:
Ni1 0.0000 0.0000 0.0000 [4 per cell]
Ni2 0.0000 0.2500 0.2500 [24 per cell]
Hg1 0.0000 0.0000 0.5000 [4 per cell]

Computed, not measured: Ni3Hg after structural relaxation at the GGA-PBE level of DFT.

Properties
- electronic total energy (eV/atom) = -4.137
- E_form (eV per atom) = 0.275
- V (Å³ per cell) = 54
- ρ (g/cm³) = 11.5

Cell: 2.7614 4.2462 4.6202 Å, 90.00 90.00 90.00°
Space group Pmm2 (No. 25)
Asymmetric unit:
Ni1 0.0000 0.0000 0.0000 [1 per cell]
Ni2 0.0000 0.5000 0.3052 [1 per cell]
Ni3 0.5000 0.5000 0.8672 [1 per cell]
Hg1 0.5000 0.0000 0.5045 [1 per cell]

Computed, not measured: Ni2Hg after structural relaxation at the GGA-PBE level of DFT.

Properties
- electronic total energy (eV/atom) = -3.725
- E_form (eV per atom) = 0.230
- V (Å³ per cell) = 170
- ρ (g/cm³) = 12.5

Cell: 3.6490 11.7957 3.9404 Å, 90.00 90.00 90.00°
Space group Cmcm (No. 63)
Asymmetric unit:
Ni1 0.0000 0.0988 0.2500 [4 per cell]
Ni2 0.0000 0.2514 0.7500 [4 per cell]
Hg1 0.0000 0.4098 0.2500 [4 per cell]